4
Lattice="3.4889 0.0000 0.0000 0.0000 3.4889 0.0000 0.0000 0.0000 8.2379" Properties=species:S:1:pos:R:3 comment="Tb2ScPd | Alexandria via LeMat-Bulk | PBE-GGA | optimized geometry" e_above_lowest_polymorph_ev_per_atom=0.000 formation_energy_ev_per_atom=-0.394 final_energy_ev_per_fu=-22.36 m_tot_mub_per_cell=0.0 pbc="T T T"
Tb 0.0000 0.0000 0.0000
Tb 1.7444 1.7444 2.5985
Sc 0.0000 0.0000 4.9799
Pd 1.7444 1.7444 6.4133

***

8
Lattice="0.0000 4.9982 4.9982 4.9982 0.0000 4.9982 4.9982 4.9982 0.0000" Properties=species:S:1:pos:R:3 comment="PmHo7 | Alexandria via LeMat-Bulk | PBE-GGA | optimized geometry" formation_energy_ev_per_atom=0.019 final_energy_ev_per_fu=-36.64 m_tot_mub_per_cell=0.0 pbc="T T T"
Pm 0.0000 0.0000 0.0000
Ho 2.4991 2.4991 0.0000
Ho 2.4991 0.0000 2.4991
Ho 4.9982 2.4991 2.4991
Ho 0.0000 2.4991 2.4991
Ho 2.4991 4.9982 2.4991
Ho 2.4991 2.4991 4.9982
Ho 4.9982 4.9982 4.9982

***

8
Lattice="4.0102 -4.8094 0.0000 4.0102 4.8094 0.0000 0.0000 0.0000 5.7352" Properties=species:S:1:pos:R:3 comment="Y3Sb5 | Alexandria via LeMat-Bulk | PBE-GGA | optimized geometry" e_above_lowest_polymorph_ev_per_atom=0.005 raw_formation_energy_mev_per_atom=-660 final_energy_ev_per_fu=-45.28 m_tot_mub_per_cell=0.0 pbc="T T T"
Y 0.0000 0.0000 0.0000
Y 4.0102 2.0339 2.8676
Y 4.0102 -2.0339 2.8676
Sb 2.0051 2.4047 0.0000
Sb 1.5803 0.0000 2.8676
Sb 2.0051 -2.4047 0.0000
Sb 4.0102 0.0000 0.0000
Sb 6.4401 0.0000 2.8676

***

12
Lattice="6.0674 0.0000 0.0000 -0.2103 6.3485 0.0000 -0.9647 -1.9979 8.0646" Properties=species:S:1:pos:R:3 comment="Na4In3Hg5 | Alexandria via LeMat-Bulk | PBE-GGA | optimized geometry" formation_energy_ev_per_atom=-0.162 final_energy_ev_per_fu=-16.94 m_tot_mub_per_cell=0.0 pbc="T T T"
Na 0.6769 0.8544 1.3255
Na 1.1767 1.8750 6.7404
Na 3.7157 2.4755 1.3241
Na 4.2155 3.4961 6.7390
In -0.4823 -0.9989 4.0323
In 2.2638 3.7546 4.0141
In 2.6286 0.5960 4.0505
Hg -0.5875 2.1753 4.0323
Hg 0.4900 4.0663 1.3349
Hg 1.4804 -1.2600 6.6990
Hg 3.4120 5.6106 1.3656
Hg 4.4024 0.2843 6.7297

***

6
Lattice="3.7981 0.0000 0.0000 0.0000 3.7981 0.0000 0.0000 0.0000 11.3305" Properties=species:S:1:pos:R:3 comment="Dy2YMg3 | Alexandria via LeMat-Bulk | PBE-GGA | optimized geometry" formation_energy_ev_per_atom=-0.089 final_energy_ev_per_fu=-20.99 m_tot_mub_per_cell=0.0 pbc="T T T"
Dy 0.0000 0.0000 1.8785
Dy 0.0000 0.0000 9.4519
Y 0.0000 0.0000 5.6652
Mg 1.8991 1.8991 0.0000
Mg 1.8991 1.8991 3.7672
Mg 1.8991 1.8991 7.5632

***

12
Lattice="3.9428 0.0000 0.0000 0.0000 3.9428 0.0000 0.0000 0.0000 11.7916" Properties=species:S:1:pos:R:3 comment="TaGa2Pd9 | Alexandria via LeMat-Bulk | PBE-GGA | optimized geometry" formation_energy_ev_per_atom=-0.515 final_energy_ev_per_fu=-70.82 m_tot_mub_per_cell=0.0 pbc="T T T"
Ta 0.0000 0.0000 0.0000
Ga 0.0000 0.0000 4.0175
Ga 0.0000 0.0000 7.7741
Pd 0.0000 1.9714 1.9360
Pd 0.0000 1.9714 5.8958
Pd 0.0000 1.9714 9.8556
Pd 1.9714 0.0000 1.9360
Pd 1.9714 0.0000 5.8958
Pd 1.9714 0.0000 9.8556
Pd 1.9714 1.9714 0.0000
Pd 1.9714 1.9714 3.9200
Pd 1.9714 1.9714 7.8716

***

8
Lattice="-2.3588 2.3588 4.8420 2.3588 -2.3588 4.8420 2.3588 2.3588 -4.8420" Properties=species:S:1:pos:R:3 comment="MgAsN2 | Alexandria via LeMat-Bulk | PBE-GGA | optimized geometry" e_above_lowest_polymorph_ev_per_atom=0.000 raw_formation_energy_mev_per_atom=74 final_energy_ev_per_fu=-22.60 m_tot_mub_per_cell=0.0 pbc="T T T"
Mg 0.0000 0.0000 0.0000
Mg 0.0000 2.3588 2.4210
As 2.3588 0.0000 2.4210
As 0.0000 0.0000 4.8420
N 1.1794 -1.0515 3.6315
N 1.3073 1.1794 1.2105
N 1.1794 3.4103 -1.2105
N 1.0515 1.1794 6.0525

***

8
Lattice="7.4522 0.0000 0.0000 0.0000 4.3228 0.0000 -2.5209 0.0000 7.0744" Properties=species:S:1:pos:R:3 comment="Na2AcHoSe4 | Alexandria via LeMat-Bulk | PBE-GGA | optimized geometry" raw_formation_energy_mev_per_atom=-1694 final_energy_ev_per_fu=-38.81 m_tot_mub_per_cell=0.0 pbc="T T T"
Na 0.0000 0.0000 0.0000
Na -1.2605 2.1614 3.5372
Ac 2.4656 0.0000 3.5372
Ho 3.7261 2.1614 0.0000
Se 1.3490 2.1614 1.6535
Se 0.0559 0.0000 5.4673
Se 4.8753 0.0000 1.6071
Se 3.5823 2.1614 5.4209

***

4
Lattice="7.1719 -1.7963 0.0000 7.1719 1.7963 0.0000 -1.4242 0.0000 4.3100" Properties=species:S:1:pos:R:3 comment="Tl2InAu | Alexandria via LeMat-Bulk | PBE-GGA | optimized geometry" e_above_lowest_polymorph_ev_per_atom=0.015 formation_energy_ev_per_atom=-0.032 final_energy_ev_per_fu=-10.88 m_tot_mub_per_cell=0.0 pbc="T T T"
Tl 2.4337 0.0000 0.8112
Tl 10.4859 0.0000 3.4989
In -0.7121 0.0000 2.1550
Au 7.1719 0.0000 0.0000

***

5
Lattice="5.3559 0.0000 0.0000 0.0000 5.3559 0.0000 0.0000 0.0000 5.1966" Properties=species:S:1:pos:R:3 comment="HfAsHBr2 | Alexandria via LeMat-Bulk | PBE-GGA | optimized geometry" e_above_lowest_polymorph_ev_per_atom=0.000 final_energy_ev_per_fu=-21.17 m_tot_mub_per_cell=2.0 pbc="T T T"
Hf 0.0000 0.0000 0.0000
As 0.0000 0.0000 2.5983
H 2.6780 2.6780 2.5983
Br 0.0000 2.6780 0.0000
Br 2.6780 0.0000 0.0000

***

5
Lattice="3.9267 0.0000 0.0000 0.0000 3.9267 0.0000 0.0000 0.0000 3.9267" Properties=species:S:1:pos:R:3 comment="Mn3AlB | Alexandria via LeMat-Bulk | PBE-GGA | optimized geometry" e_above_lowest_polymorph_ev_per_atom=0.000 formation_energy_ev_per_atom=-0.118 final_energy_ev_per_fu=-38.52 m_tot_mub_per_cell=7.0 pbc="T T T"
Mn 0.0000 0.0000 1.9634
Mn 0.0000 1.9634 0.0000
Mn 1.9634 0.0000 0.0000
Al 1.9634 1.9634 1.9634
B 0.0000 0.0000 0.0000

***

20
Lattice="6.4647 0.0000 0.0000 0.0000 6.4647 0.0000 0.0000 0.0000 7.3079" Properties=species:S:1:pos:R:3 comment="Nb2Si2Tc | Alexandria via LeMat-Bulk | PBE-GGA | optimized geometry" e_above_lowest_polymorph_ev_per_atom=0.000 raw_formation_energy_mev_per_atom=-595 final_energy_ev_per_fu=-44.33 m_tot_mub_per_cell=0.0 pbc="T T T"
Nb 1.0327 2.0736 0.0000
Nb 1.1588 2.1996 3.6540
Nb 2.0736 5.4320 0.0000
Nb 2.1996 5.3059 3.6540
Nb 4.2650 1.1588 3.6540
Nb 4.3911 1.0327 0.0000
Nb 5.3059 4.2650 3.6540
Nb 5.4320 4.3911 0.0000
Si 0.8603 4.0926 1.8270
Si 0.8603 4.0926 5.4809
Si 2.3720 0.8603 1.8270
Si 2.3720 0.8603 5.4809
Si 4.0926 5.6044 1.8270
Si 4.0926 5.6044 5.4809
Si 5.6044 2.3720 1.8270
Si 5.6044 2.3720 5.4809
Tc 0.0000 0.0000 2.0998
Tc 0.0000 0.0000 5.2081
Tc 3.2323 3.2323 1.5541
Tc 3.2323 3.2323 5.7538